Entry 1:
A plane-wave DFT calculation with PBEsol was carried out for a relaxed ZrAl2Cu crystal.

Geometry as POSCAR:
```
ZrAl2Cu
1.0
-2.119 3.300 -0.768
-1.788 -3.574 -0.027
-1.087 0.505 5.168
Cu Zr Al
1 1 2
Direct
0.000 0.000 0.000
0.000 0.000 0.500
0.667 0.333 0.847
0.333 0.667 0.153
```

Space-group type: P-3m1
Uncorrected energy (eV/f.u.): -21.7
Fermi-level density of states (states/eV per cell): 2.1
Volume (Å³/atom): 18.34

***

Entry 2:
A plane-wave DFT calculation with PBEsol was carried out for a relaxed SrTaW2 crystal.

Geometry as POSCAR:
```
SrTaW2
1.0
-1.867 1.637 1.175
-1.710 -0.438 -2.105
-3.938 -7.979 4.859
Sr Ta W
1 1 2
Direct
0.500 0.500 0.000
0.500 0.500 0.500
0.000 0.000 0.722
0.000 0.000 0.278
```

Space-group type: P4/mmm
Uncorrected energy (eV/f.u.): -38.5
Fermi-level density of states (states/eV per cell): 3.0
Volume (Å³/atom): 19.13